(1)
Crystalline Rb2Np2NiS6 at its relaxed geometry. Source: Alexandria via LeMat-Bulk, functional GGA-PBE.

Computed properties:
D(E_F), states/eV per atom: 1.305
Uncorrected formation energy, eV per atom: -1.06
E, eV/atom: -6.363

abc: 6.671 6.671 8.193
angles: 97.80 97.80 120.13
Fractional coordinates of all 11 atoms:
Rb 0.835 0.165 0.000
Rb 0.165 0.835 0.000
Np 0.333 0.667 0.500
Np 0.667 0.333 0.500
Ni 0.000 0.000 0.500
S 0.752 0.752 0.673
S 0.062 0.384 0.682
S 0.248 0.248 0.327
S 0.384 0.062 0.682
S 0.938 0.616 0.318
S 0.616 0.938 0.318

=====

(2)
Crystalline Na3HOs at its relaxed geometry. Source: Alexandria via LeMat-Bulk, functional GGA-PBE.

Computed properties:
D(E_F), states/eV per atom: 0.971
E, eV/atom: -2.762

abc: 4.577 4.577 4.577
angles: 90.00 90.00 90.00
Fractional coordinates of all 5 atoms:
Na 0.000 0.500 0.000
Na 0.000 0.000 0.500
Na 0.500 0.000 0.000
Os 0.500 0.500 0.500
H 0.000 0.000 0.000

=====

(3)
Crystalline La7Mg6 at its relaxed geometry. Source: Alexandria via LeMat-Bulk, functional GGA-PBE.

Computed properties:
D(E_F), states/eV per atom: 1.202
Energy relative to the elements, eV per atom: 0.194
E, eV/atom: -3.195

abc: 11.523 11.523 11.523
angles: 34.18 34.18 34.18
Fractional coordinates of all 13 atoms:
Mg 0.952 0.952 0.952
Mg 0.048 0.048 0.048
Mg 0.855 0.855 0.855
Mg 0.145 0.145 0.145
Mg 0.665 0.665 0.665
Mg 0.335 0.335 0.335
La 0.928 0.404 0.404
La 0.404 0.404 0.928
La 0.404 0.928 0.404
La 0.072 0.596 0.596
La 0.596 0.072 0.596
La 0.596 0.596 0.072
La 0.500 0.500 0.500

=====

(4)
Crystalline Nd12In3Ag at its relaxed geometry. Source: Alexandria via LeMat-Bulk, functional GGA-PBE.

Computed properties:
D(E_F), states/eV per atom: 1.472
Energy relative to the elements, eV per atom: -0.207
E, eV/atom: -4.474

abc: 4.983 4.983 19.797
angles: 90.00 90.00 90.00
Fractional coordinates of all 16 atoms:
Nd 0.500 0.500 0.000
Nd 0.500 0.500 0.246
Nd 0.500 0.500 0.500
Nd 0.500 0.500 0.754
Nd 0.500 0.000 0.122
Nd 0.500 0.000 0.373
Nd 0.500 0.000 0.627
Nd 0.500 0.000 0.878
Nd 0.000 0.500 0.122
Nd 0.000 0.500 0.373
Nd 0.000 0.500 0.627
Nd 0.000 0.500 0.878
In 0.000 0.000 0.248
In 0.000 0.000 0.500
In 0.000 0.000 0.752
Ag 0.000 0.000 0.000

=====

(5)
Crystalline LiY6S8 at its relaxed geometry. Source: Alexandria via LeMat-Bulk, functional GGA-PBE.

Computed properties:
D(E_F), states/eV per atom: 0.302
Uncorrected formation energy, eV per atom: -2.00
E, eV/atom: -6.919

abc: 7.782 7.782 7.782
angles: 60.00 60.00 60.00
Fractional coordinates of all 15 atoms:
Li 0.000 0.000 0.000
Y 0.000 0.500 0.500
Y 0.500 0.000 0.000
Y 0.500 0.500 0.000
Y 0.000 0.000 0.500
Y 0.000 0.500 0.000
Y 0.500 0.000 0.500
S 0.750 0.750 0.750
S 0.250 0.250 0.250
S 0.755 0.245 0.245
S 0.245 0.755 0.755
S 0.245 0.245 0.755
S 0.755 0.755 0.245
S 0.755 0.245 0.755
S 0.245 0.755 0.245

=====

(6)
Crystalline Ba2MgCd6Rh at its relaxed geometry. Source: Alexandria via LeMat-Bulk, functional GGA-PBE.

Computed properties:
D(E_F), states/eV per atom: 0.446
Energy relative to the elements, eV per atom: -0.153
E, eV/atom: -1.981

abc: 7.586 7.587 7.578
angles: 59.94 59.94 90.07
Fractional coordinates of all 10 atoms:
Ba 0.750 0.250 0.500
Ba 0.250 0.750 0.500
Mg 0.000 0.000 0.000
Cd 0.256 0.256 0.487
Cd 0.743 0.743 0.000
Cd 0.257 0.743 0.000
Cd 0.743 0.257 0.000
Cd 0.257 0.257 0.000
Cd 0.744 0.744 0.513
Rh 0.500 0.500 0.000

=====

(7)
Crystalline BaNi2Au2 at its relaxed geometry. Source: Alexandria via LeMat-Bulk, functional GGA-PBE.

Computed properties:
D(E_F), states/eV per atom: 0.728
Energy relative to the elements, eV per atom: 0.010
E, eV/atom: -3.998

abc: 7.723 7.723 3.198
angles: 90.00 90.00 90.00
Fractional coordinates of all 10 atoms:
Ni 0.383 0.883 0.000
Ni 0.883 0.617 0.000
Ni 0.617 0.117 0.000
Ni 0.117 0.383 0.000
Au 0.168 0.668 0.500
Au 0.668 0.832 0.500
Au 0.832 0.332 0.500
Au 0.332 0.168 0.500
Ba 0.000 0.000 0.000
Ba 0.500 0.500 0.000

=====

(8)
Crystalline LaTl2Ga2 at its relaxed geometry. Source: Alexandria via LeMat-Bulk, functional GGA-PBE.

Computed properties:
D(E_F), states/eV per atom: 0.484
Energy relative to the elements, eV per atom: -0.202
E, eV/atom: -3.345

abc: 4.651 4.651 7.224
angles: 71.22 71.22 90.00
Fractional coordinates of all 5 atoms:
Tl 0.750 0.250 0.500
Tl 0.250 0.750 0.500
Ga 0.402 0.402 0.197
Ga 0.598 0.598 0.803
La 0.000 0.000 0.000

=====

(9)
Crystalline Zr2Hg2Cl at its relaxed geometry. Source: Alexandria via LeMat-Bulk, functional GGA-PBE.

Computed properties:
D(E_F), states/eV per atom: 0.607
Uncorrected formation energy, eV per atom: -0.40
E, eV/atom: -4.306

abc: 6.920 6.920 4.647
angles: 90.00 90.00 90.00
Fractional coordinates of all 10 atoms:
Hg 0.152 0.652 0.500
Hg 0.652 0.848 0.500
Hg 0.848 0.348 0.500
Hg 0.348 0.152 0.500
Zr 0.340 0.840 0.000
Zr 0.840 0.660 0.000
Zr 0.660 0.160 0.000
Zr 0.160 0.340 0.000
Cl 0.000 0.000 0.000
Cl 0.500 0.500 0.000

=====

(10)
Crystalline AgPb2 at its relaxed geometry. Source: Alexandria via LeMat-Bulk, functional GGA-PBE.

Computed properties:
D(E_F), states/eV per atom: 0.524
Energy relative to the elements, eV per atom: 0.091
E, eV/atom: -3.331

abc: 9.698 9.698 9.698
angles: 60.00 60.00 60.00
Fractional coordinates of all 24 atoms:
Ag 0.709 0.709 0.872
Ag 0.709 0.709 0.209
Ag 0.709 0.372 0.209
Ag 0.372 0.709 0.209
Ag 0.291 0.291 0.128
Ag 0.291 0.291 0.791
Ag 0.291 0.628 0.791
Ag 0.628 0.291 0.791
Pb 0.000 0.500 0.000
Pb 0.500 0.000 0.000
Pb 0.500 0.500 0.000
Pb 0.500 0.500 0.500
Pb 0.938 0.938 0.812
Pb 0.938 0.312 0.812
Pb 0.312 0.938 0.812
Pb 0.938 0.312 0.438
Pb 0.312 0.938 0.438
Pb 0.312 0.312 0.438
Pb 0.062 0.062 0.188
Pb 0.062 0.688 0.188
Pb 0.688 0.062 0.188
Pb 0.062 0.688 0.562
Pb 0.688 0.062 0.562
Pb 0.688 0.688 0.562

=====

(11)
Crystalline Tm6Zn2Pt at its relaxed geometry. Source: Alexandria via LeMat-Bulk, functional GGA-PBE.

Computed properties:
D(E_F), states/eV per atom: 0.861
Energy relative to the elements, eV per atom: -0.431
E, eV/atom: -4.366

abc: 8.292 8.292 8.292
angles: 110.23 110.54 107.66
Fractional coordinates of all 18 atoms:
Tm 0.570 0.744 0.825
Tm 0.430 0.256 0.175
Tm 0.081 0.256 0.825
Tm 0.919 0.744 0.175
Tm 0.809 0.741 0.551
Tm 0.191 0.259 0.449
Tm 0.191 0.741 0.932
Tm 0.809 0.259 0.068
Tm 0.721 0.395 0.674
Tm 0.279 0.605 0.326
Tm 0.279 0.953 0.674
Tm 0.721 0.047 0.326
Zn 0.500 0.371 0.871
Zn 0.500 0.629 0.129
Zn 0.636 0.000 0.636
Zn 0.364 0.000 0.364
Pt 0.000 0.500 0.500
Pt 0.000 0.000 0.000

=====

(12)
Crystalline ZrZn2Tc at its relaxed geometry. Source: Alexandria via LeMat-Bulk, functional GGA-PBE.

Computed properties:
D(E_F), states/eV per atom: 1.061
Energy relative to the elements, eV per atom: 0.155
E, eV/atom: -5.210

abc: 9.645 9.645 9.645
angles: 17.04 17.04 17.04
Fractional coordinates of all 4 atoms:
Tc 0.744 0.744 0.744
Zn 0.002 0.002 0.002
Zn 0.255 0.255 0.255
Zr 0.500 0.500 0.500

=====

no.,volume (Å³ per atom)
1,27.58
2,19.17
3,33.13
4,30.72
5,22.21
6,30.77
7,19.07
8,27.82
9,22.25
10,26.87
11,24.36
12,16.79